This record from Alexandria via LeMat-Bulk describes a relaxed Fe2Pb2O crystal. The functional is GGA+U.

Results
- Total magnetic moment: 15.349 Bohr magnetons per cell
- Energy relative to the lowest polymorph listed for this composition: 0.0 kJ/mol of atoms
- Space group: P4/mbm, No. 127

abc: 6.764 6.764 4.832
angles: 90.00 90.00 90.00
Each line ends with the local moment (μB).
Atoms (fractional coordinates):
Pb  0.177  0.323  0.000  -0.02
Pb  0.323  0.823  0.000  -0.02
Pb  0.677  0.177  0.000  -0.02
Pb  0.823  0.677  0.000  -0.02
Fe  0.359  0.141  0.500  3.71
Fe  0.859  0.359  0.500  3.70
Fe  0.141  0.641  0.500  3.70
Fe  0.641  0.859  0.500  3.71
O  0.000  0.000  0.000  0.11
O  0.500  0.500  0.000  0.11